Here is crystalline Tc2HgAs at its relaxed geometry from Alexandria via LeMat-Bulk. Energies are from GGA-PBE.

Summary:
DFT total energy   -5.96 eV per atom
M_tot   0.0 μB/f.u.
ΔH_f (0 K)   10.5 kcal/mol of atoms
Density   11.78 Mg/m³
Excess energy over the best structure of this formula in the dataset   125.7 kJ/mol of formula units

abc: 3.1047 4.8249 8.8772
angles: 90.00 90.00 90.00
Closest atoms and distances in Å follow each position.
Space group Immm (No. 71)
Asymmetric unit:
Tc 0.0000 0.0000 0.2149 x4  2 As 2.46
Hg 0.0000 0.5000 0.0000 x2  4 As 2.87, 8 Tc 2.97-3.08, 2 Hg 3.10
As 0.0000 0.5000 0.5000 x2  4 Tc 2.46

Here is crystalline Pa8CoOs5 at its relaxed geometry from Alexandria via LeMat-Bulk. Energies are from GGA-PBE.

Summary:
DFT total energy   -10.23 eV per atom
M_tot   0.0 μB/f.u.
ΔH_f (0 K)   -6.6 kcal/mol of atoms
Density   15.45 Mg/m³

abc: 8.4785 8.4785 8.5464
angles: 90.00 90.00 90.00
Closest atoms and distances in Å follow each position.
Space group I-4 (No. 82)
Asymmetric unit:
Pa 0.0590 0.3015 0.4363 x8  1 Co 2.66, 2 Os 2.74
Pa 0.0595 0.1914 0.8161 x8  3 Os 2.72-2.75
Co 0.0000 0.0000 0.5000 x2  4 Pa 2.66
Os 0.0000 0.5000 0.7500 x2  4 Pa 2.72
Os 0.1232 0.2515 0.1260 x8  4 Pa 2.74-2.75

Q: What is the formula in the first record?
A: Tc2HgAs

Q: density of number 2 (Pa8CoOs5)?
A: 15.45 Mg/m³